21
Lattice="13.280 0.000 0.000 -6.640 11.501 0.000 0.000 0.000 5.095" Properties=species:S:1:pos:R:3 comment="Cs2K12Se7 PBE optimized geometry" sg="P-6, No. 174" e_tot_ev_per_fu=-61.97 e_form_raw_ev_per_atom=-1.08 rho_g_cm3=2.75 magnetic_moment_mub_per_fu=0.00 pbc="T T T"
Cs 0.000 0.000 0.000
Cs 0.000 7.667 2.547
K -1.123 3.230 2.547
K -3.372 8.092 0.000
K -3.281 10.859 2.547
K 1.319 4.535 0.000
K 4.005 2.003 0.000
K 4.359 4.964 2.547
K 6.802 1.293 2.547
K 2.054 10.376 0.000
K 4.404 8.913 2.547
K 6.372 7.031 0.000
K 9.543 2.467 0.000
K 8.760 5.244 2.547
Se -1.919 5.191 0.000
Se 2.030 2.441 2.547
Se -1.185 10.567 0.000
Se 3.104 7.244 0.000
Se 6.640 3.834 0.000
Se 10.151 0.537 2.547
Se 7.740 8.523 2.547